[1]
First-principles (GGA-PBE) data for a relaxed structure of TlFe2Rh, as listed in Alexandria via LeMat-Bulk.

Cell: 4.7295 4.7295 4.7295 Å, 130.01 130.01 73.40°
Closest atoms and distances in Å follow each position.
Positions (direct):
Tl (0.0000, 0.0000, 0.0000)  8 Fe 2.75-2.83, 4 Rh 2.75
Fe (0.2500, 0.7500, 0.5000)  4 Fe 2.75, 4 Tl 2.75, 4 Rh 2.83
Fe (0.5000, 0.5000, 0.0000)  4 Fe 2.75, 4 Rh 2.75, 4 Tl 2.83
Rh (0.7500, 0.2500, 0.5000)  8 Fe 2.75-2.83, 4 Tl 2.75

Its symmetry is No. 119. The energy above the most stable polymorph in this dataset is 46 meV/atom. The value obtained for the size of the total moment is 5.8 μB/cell. For the density of states at the Fermi level, the calculation gives 1.12 states/eV per atom.

---

[2]
First-principles (GGA-PBE) data for a relaxed structure of MnTcAs2, as listed in Alexandria via LeMat-Bulk.

Cell: 4.2795 4.2795 5.0671 Å, 97.32 97.32 43.47°
Closest atoms and distances in Å follow each position.
Positions (direct):
Mn (0.0000, 0.0000, 0.0000)  2 As 2.44
Tc (0.5000, 0.5000, 0.5000)  6 As 2.57-2.59
As (0.2325, 0.2325, 0.7322)  1 Mn 2.44, 3 Tc 2.57-2.59
As (0.7675, 0.7675, 0.2678)  1 Mn 2.44, 3 Tc 2.57-2.59

Its symmetry is No. 12. The energy above the most stable polymorph in this dataset is 164 meV/atom. The value obtained for the size of the total moment is 3.6 μB/cell. For the density of states at the Fermi level, the calculation gives 0.69 states/eV per atom.

---

[3]
First-principles (GGA-PBE) data for a relaxed structure of Al2Zn3Ga8, as listed in Alexandria via LeMat-Bulk.

Cell: 7.7489 7.7489 6.3319 Å, 97.44 97.44 42.65°
Closest atoms and distances in Å follow each position.
Positions (direct):
Al (0.2374, 0.2374, 0.2513)  6 Ga 2.55-2.81
Al (0.7626, 0.7626, 0.7487)  6 Ga 2.55-2.81
Zn (0.2674, 0.7326, 0.5000)  1 Zn 2.62, 4 Ga 2.64-2.80
Zn (0.5000, 0.5000, 0.0000)  4 Ga 2.56
Zn (0.7326, 0.2674, 0.5000)  1 Zn 2.62, 4 Ga 2.64-2.80
Ga (0.1048, 0.6161, 0.0659)  1 Zn 2.56, 2 Al 2.67-2.68, 2 Ga 2.68-2.75
Ga (0.1510, 0.1510, 0.5760)  1 Al 2.55, 2 Zn 2.64, 2 Ga 2.68
Ga (0.3508, 0.3508, 0.6500)  3 Zn 2.80-2.87, 1 Al 2.81, 3 Ga 2.86-2.99
Ga (0.3839, 0.8952, 0.9341)  1 Zn 2.56, 2 Al 2.67-2.68, 2 Ga 2.68-2.75
Ga (0.6161, 0.1048, 0.0659)  1 Zn 2.56, 2 Al 2.67-2.68, 2 Ga 2.68-2.75
Ga (0.6492, 0.6492, 0.3500)  3 Zn 2.80-2.87, 1 Al 2.81, 3 Ga 2.86-2.99
Ga (0.8490, 0.8490, 0.4240)  1 Al 2.55, 2 Zn 2.64, 2 Ga 2.68
Ga (0.8952, 0.3839, 0.9341)  1 Zn 2.56, 2 Al 2.67-2.68, 2 Ga 2.68-2.75

Its symmetry is No. 12. The value obtained for the size of the total moment is 0.0 μB/cell. For the density of states at the Fermi level, the calculation gives 0.32 states/eV per atom.

---

Ordered calculated formation energy results: 26.5, 5.6, 9.7; unit kJ per mole of atoms.